Zn3Ru: relaxed, GGA-PBEsol.

Output
**VASP energy**: -3.792 eV/atom
**DFT formation energy**: -0.062 eV per atom
**Spin magnetization**: 0.38 μB per formula unit
**Crystal system**: tetragonal

Cell: 3.6332 3.6332 8.0812 Å, 90.00 90.00 90.00°
Space group I4/mmm (No. 139)
Inequivalent atoms, fractional coordinates:
Zn: 0.0000 0.0000 0.0000 (multiplicity 2)
Zn: 0.0000 0.5000 0.2500 (multiplicity 4)
Ru: 0.0000 0.0000 0.5000 (multiplicity 2)

ZnRu: relaxed, GGA-PBEsol.

Output
**VASP energy**: -5.873 eV/atom
**DFT formation energy**: 0.005 eV per atom
**Spin magnetization**: 0.00 μB per formula unit
**Crystal system**: trigonal

Cell: 2.7082 2.7082 8.5579 Å, 90.00 90.00 120.00°
Space group P-3m1 (No. 164)
Inequivalent atoms, fractional coordinates:
Zn: 0.3333 0.6667 0.3711 (multiplicity 2)
Ru: 0.3333 0.6667 0.8822 (multiplicity 2)

Zn2Ru: relaxed, GGA-PBEsol.

Output
**VASP energy**: -4.476 eV/atom
**DFT formation energy**: -0.031 eV per atom
**Spin magnetization**: 0.00 μB per formula unit
**Crystal system**: monoclinic

Cell: 9.6479 2.7569 6.2273 Å, 90.00 104.30 90.00°
Space group Cm (No. 8)
Inequivalent atoms, fractional coordinates:
Zn: 0.0000 0.0000 0.0000 (multiplicity 2)
Zn: 0.0460 0.0000 0.6043 (multiplicity 2)
Zn: 0.2209 0.5000 0.9429 (multiplicity 2)
Zn: 0.3879 0.0000 0.2747 (multiplicity 2)
Ru: 0.1682 0.5000 0.3369 (multiplicity 2)
Ru: 0.3251 0.0000 0.6619 (multiplicity 2)

ZnRu: relaxed, GGA-PBEsol.

Output
**VASP energy**: -5.135 eV/atom
**DFT formation energy**: 0.742 eV per atom
**Spin magnetization**: 0.00 μB per formula unit
**Crystal system**: hexagonal

Cell: 4.0246 4.0246 4.6512 Å, 90.00 90.00 120.00°
Space group P6_3/mmc (No. 194)
Inequivalent atoms, fractional coordinates:
Zn: 0.3333 0.6667 0.2500 (multiplicity 2)
Ru: 0.0000 0.0000 0.0000 (multiplicity 2)

ZnRu4: relaxed, GGA-PBEsol.

Output
**VASP energy**: -8.289 eV/atom
**DFT formation energy**: 0.166 eV per atom
**Spin magnetization**: 0.00 μB per formula unit
**Crystal system**: tetragonal

Cell: 5.9727 5.9727 3.7289 Å, 90.00 90.00 90.00°
Space group I4/m (No. 87)
Inequivalent atoms, fractional coordinates:
Zn: 0.0000 0.0000 0.0000 (multiplicity 2)
Ru: 0.0969 0.3026 0.5000 (multiplicity 8)

Zn5Ru: relaxed, GGA-PBEsol.

Output
**VASP energy**: -3.086 eV/atom
**DFT formation energy**: -0.072 eV per atom
**Spin magnetization**: 0.00 μB per formula unit
**Crystal system**: orthorhombic

Cell: 3.7198 11.5939 3.7344 Å, 90.00 90.00 90.00°
Space group Cmmm (No. 65)
Inequivalent atoms, fractional coordinates:
Zn: 0.0000 0.0000 0.0000 (multiplicity 2)
Zn: 0.0000 0.1645 0.5000 (multiplicity 4)
Zn: 0.0000 0.3348 0.0000 (multiplicity 4)
Ru: 0.0000 0.5000 0.5000 (multiplicity 2)

Zn3Ru: relaxed, GGA-PBEsol.

Output
**VASP energy**: -3.762 eV/atom
**DFT formation energy**: -0.032 eV per atom
**Spin magnetization**: 0.75 μB per formula unit
**Crystal system**: orthorhombic

Cell: 2.7544 8.6054 4.5514 Å, 90.00 90.00 90.00°
Space group Imm2 (No. 44)
Inequivalent atoms, fractional coordinates:
Zn: 0.0000 0.0000 0.0000 (multiplicity 2)
Zn: 0.0000 0.2466 0.6594 (multiplicity 4)
Ru: 0.0000 0.5000 0.9926 (multiplicity 2)

ZnRu: relaxed, GGA-PBEsol.

Output
**VASP energy**: -4.058 eV/atom
**DFT formation energy**: 1.819 eV per atom
**Spin magnetization**: 1.49 μB per formula unit
**Crystal system**: cubic

Cell: 5.4647 5.4647 5.4647 Å, 90.00 90.00 90.00°
Space group F-43m (No. 216)
Inequivalent atoms, fractional coordinates:
Zn: 0.0000 0.0000 0.0000 (multiplicity 4)
Ru: 0.2500 0.2500 0.2500 (multiplicity 4)

Zn2Ru: relaxed, GGA-PBEsol.

Output
**VASP energy**: -4.475 eV/atom
**DFT formation energy**: -0.029 eV per atom
**Spin magnetization**: 0.00 μB per formula unit
**Crystal system**: tetragonal

Cell: 3.7371 3.7371 22.7908 Å, 90.00 90.00 90.00°
Space group I4_1/amd (No. 141, origin choice 2)
Inequivalent atoms, fractional coordinates:
Zn: 0.0000 0.2500 0.1255 (multiplicity 8)
Zn: 0.0000 0.2500 0.2883 (multiplicity 8)
Ru: 0.0000 0.2500 0.7971 (multiplicity 8)

Zn3Ru: relaxed, GGA-PBEsol.

Output
**VASP energy**: -3.710 eV/atom
**DFT formation energy**: 0.020 eV per atom
**Spin magnetization**: 0.00 μB per formula unit
**Crystal system**: tetragonal

Cell: 3.1636 3.1636 5.4154 Å, 90.00 90.00 90.00°
Space group P4/mmm (No. 123)
Inequivalent atoms, fractional coordinates:
Zn: 0.0000 0.0000 0.0000 (multiplicity 1)
Zn: 0.5000 0.5000 0.2609 (multiplicity 2)
Ru: 0.0000 0.0000 0.5000 (multiplicity 1)

ZnRu: relaxed, GGA-PBEsol.

Output
**VASP energy**: -5.922 eV/atom
**DFT formation energy**: -0.044 eV per atom
**Spin magnetization**: 0.00 μB per formula unit
**Crystal system**: tetragonal

Cell: 2.7979 2.7979 6.7989 Å, 90.00 90.00 90.00°
Space group P4/nmm (No. 129, origin choice 2)
Inequivalent atoms, fractional coordinates:
Zn: 0.2500 0.2500 0.1260 (multiplicity 2)
Ru: 0.2500 0.2500 0.6202 (multiplicity 2)

Zn22Ru: relaxed, GGA-PBEsol.

Output
**VASP energy**: -1.899 eV/atom
**DFT formation energy**: 0.057 eV per atom
**Spin magnetization**: 0.00 μB per formula unit
**Crystal system**: cubic

Cell: 13.7024 13.7024 13.7024 Å, 90.00 90.00 90.00°
Space group Fd-3m (No. 227, origin choice 2)
Inequivalent atoms, fractional coordinates:
Zn: 0.0000 0.0000 0.0000 (multiplicity 16)
Zn: 0.0000 0.0000 0.5000 (multiplicity 16)
Zn: 0.0167 0.3750 0.3750 (multiplicity 48)
Zn: 0.0618 0.0618 0.8180 (multiplicity 96)
Ru: 0.1250 0.1250 0.6250 (multiplicity 8)